(1)
Pm4PtCBr2 | Alexandria | PBE | optimized geometry; M_tot = 0.00 μB per cell; raw formation energy = -0.98 eV per atom; E = -5.685 eV/atom; symmetry = No. 10
1.0
3.925 0.000 0.000
0.000 7.242 0.173
0.000 -2.507 7.311
Pm Pt Br C
4 1 2 1
direct
0.000 0.297 0.811
0.000 0.703 0.189
0.500 0.257 0.192
0.500 0.743 0.808
0.000 0.000 0.000
0.500 0.000 0.500
0.000 0.500 0.500
0.500 0.500 0.000

=====

(2)
LaCeSn6 | Alexandria | PBE | optimized geometry; M_tot = 0.44 μB per cell; E_form = -0.555 eV per atom; E = -4.915 eV/atom; symmetry = No. 123
1.0
4.761 0.000 0.000
0.000 4.761 0.000
0.000 0.000 9.542
Sn Ce La
6 1 1
direct
0.500 0.500 0.500
0.000 0.500 0.245
0.000 0.500 0.755
0.500 0.500 0.000
0.500 0.000 0.245
0.500 0.000 0.755
0.000 0.000 0.000
0.000 0.000 0.500

=====

(3)
AcTiAs | Alexandria | PBE | optimized geometry; M_tot = 0.00 μB per cell; E_form = -0.560 eV per atom; E = -6.111 eV/atom; symmetry = No. 71
1.0
-2.092 -2.118 3.642
3.575 0.727 2.476
-3.859 7.883 -0.670
Ac Ti As
2 2 2
direct
0.342 0.842 0.685
0.658 0.158 0.315
0.239 0.500 0.000
0.761 0.500 0.000
0.852 0.352 0.703
0.148 0.648 0.297